No. 1
VASP calculation (PBE-GGA) on an optimized crystal structure of CePb2Au9.

Spin magnetization in μB per formula unit: 1.29
V in Å³/cell: 525.4
DFT formation energy in meV per atom: -190

abc: 5.682 5.682 18.792
angles: 90.00 90.00 120.00
Each line ends with the local moment (μB).
Fractional positions:
Au 0.000 0.000 0.000  0.00
Au 0.168 0.832 0.375  0.01
Au 0.168 0.335 0.375  0.01
Au 0.168 0.832 0.125  0.01
Au 0.335 0.168 0.875  0.01
Au 0.168 0.335 0.125  0.01
Au 0.832 0.168 0.625  0.01
Au 0.665 0.832 0.375  0.01
Au 0.333 0.667 0.250  0.00
Au 0.665 0.832 0.125  0.01
Au 0.000 0.000 0.500  0.00
Au 0.335 0.168 0.625  0.01
Au 0.832 0.665 0.625  0.01
Au 0.000 0.000 0.750  0.01
Au 0.832 0.168 0.875  0.01
Au 0.832 0.665 0.875  0.01
Au 0.000 0.000 0.250  0.01
Au 0.667 0.333 0.750  0.00
Pb 0.333 0.667 0.534  0.00
Pb 0.667 0.333 0.034  0.00
Pb 0.333 0.667 0.966  0.00
Pb 0.667 0.333 0.466  0.00
Ce 0.667 0.333 0.250  1.03
Ce 0.333 0.667 0.750  1.03



No. 2
VASP calculation (PBE-GGA) on an optimized crystal structure of Ce3PbAu5.

Spin magnetization in μB per formula unit: 2.42
V in Å³/cell: 436.0
DFT formation energy in meV per atom: -614

abc: 6.341 8.910 8.910
angles: 120.00 90.00 90.00
Each line ends with the local moment (μB).
Fractional positions:
Ce 0.750 0.000 0.650  0.73
Ce 0.750 0.350 0.350  0.73
Ce 0.250 0.000 0.350  0.73
Ce 0.250 0.350 0.000  0.73
Ce 0.250 0.650 0.650  0.73
Ce 0.750 0.650 0.000  0.73
Au 0.000 0.333 0.667  0.00
Au 0.500 0.667 0.333  0.00
Au 0.000 0.667 0.333  0.00
Au 0.500 0.333 0.667  0.00
Au 0.250 0.322 0.322  0.00
Au 0.750 0.678 0.678  0.00
Au 0.250 0.678 0.000  0.00
Au 0.750 0.322 0.000  0.00
Au 0.250 0.000 0.678  0.00
Au 0.750 0.000 0.322  0.00
Pb 0.000 0.000 0.000  -0.02
Pb 0.500 0.000 0.000  -0.02



No. 3
VASP calculation (PBE-GGA) on an optimized crystal structure of Ce2PbAu.

Spin magnetization in μB per formula unit: 2.09
V in Å³/cell: 123.1
DFT formation energy in meV per atom: -333

abc: 4.155 4.155 8.577
angles: 75.98 75.98 60.00
Each line ends with the local moment (μB).
Fractional positions:
Pb 0.500 0.500 0.500  0.03
Au 0.000 0.000 0.000  0.02
Ce 0.742 0.742 0.774  0.82
Ce 0.258 0.258 0.226  0.82



No. 4
VASP calculation (PBE-GGA) on an optimized crystal structure of Ce3PbAu.

Spin magnetization in μB per formula unit: 2.98
V in Å³/cell: 275.4
DFT formation energy in meV per atom: -294

abc: 8.464 5.852 8.830
angles: 90.00 39.03 90.00
Each line ends with the local moment (μB).
Fractional positions:
Ce 0.000 0.500 0.000  1.01
Ce 0.633 0.250 0.904  0.73
Ce 0.659 0.750 0.610  0.68
Ce 0.341 0.250 0.390  0.68
Ce 0.000 0.000 0.000  1.01
Ce 0.367 0.750 0.096  0.73
Au 0.517 0.250 0.581  0.02
Au 0.483 0.750 0.419  0.02
Pb 0.971 0.750 0.687  -0.02
Pb 0.029 0.250 0.313  -0.02



No. 5
VASP calculation (PBE-GGA) on an optimized crystal structure of Ce2PbAu4.

Spin magnetization in μB per formula unit: 1.42
V in Å³/cell: 180.6
DFT formation energy in meV per atom: -457

abc: 5.009 5.009 8.798
angles: 73.46 73.46 60.00
Each line ends with the local moment (μB).
Fractional positions:
Ce 0.749 0.749 0.753  0.66
Ce 0.251 0.251 0.247  0.66
Au 0.381 0.381 0.857  -0.01
Au 0.619 0.619 0.143  -0.01
Au 0.869 0.869 0.392  -0.01
Au 0.131 0.131 0.608  -0.01
Pb 0.000 0.000 0.000  0.00



No. 6
VASP calculation (PBE-GGA) on an optimized crystal structure of CePbAu.

Spin magnetization in μB per formula unit: 0.47
V in Å³/cell: 80.7
DFT formation energy in meV per atom: 134

abc: 3.058 3.058 8.899
angles: 99.89 99.89 90.00
Each line ends with the local moment (μB).
Fractional positions:
Ce 0.120 0.120 0.240  0.41
Pb 0.778 0.778 0.557  -0.01
Au 0.952 0.952 0.903  0.00



No. 7
VASP calculation (PBE-GGA) on an optimized crystal structure of Ce6Pb3Au.

Spin magnetization in μB per formula unit: 4.45
V in Å³/cell: 566.3
DFT formation energy in meV per atom: -275

abc: 5.969 8.740 10.861
angles: 90.00 88.09 90.00
Each line ends with the local moment (μB).
Fractional positions:
Ce 0.518 0.136 0.937  0.64
Ce 0.295 0.555 0.742  0.61
Ce 0.482 0.864 0.063  0.64
Ce 0.982 0.636 0.563  0.64
Ce 0.007 0.353 0.063  0.69
Ce 0.993 0.647 0.937  0.69
Ce 0.493 0.853 0.437  0.69
Ce 0.795 0.945 0.242  0.61
Ce 0.705 0.445 0.258  0.61
Ce 0.507 0.147 0.563  0.69
Ce 0.018 0.364 0.437  0.64
Ce 0.205 0.055 0.758  0.61
Au 0.500 0.500 0.500  0.01
Au 0.000 0.000 0.000  0.01
Pb 0.000 0.000 0.500  -0.01
Pb 0.332 0.146 0.252  -0.01
Pb 0.832 0.354 0.752  -0.01
Pb 0.168 0.646 0.248  -0.01
Pb 0.668 0.854 0.748  -0.01
Pb 0.500 0.500 0.000  -0.01



No. 8
VASP calculation (PBE-GGA) on an optimized crystal structure of Ce2PbAu3.

Spin magnetization in μB per formula unit: 2.08
Distance to the lowest polymorph of the same formula in eV/f.u.: 0.71
V in Å³/cell: 159.3
DFT formation energy in meV per atom: -487

abc: 4.594 3.707 9.808
angles: 100.89 103.54 90.00
Each line ends with the local moment (μB).
Fractional positions:
Au 0.289 0.789 0.579  0.00
Au 0.563 0.563 0.125  0.00
Au 0.709 0.709 0.417  0.00
Ce 0.140 0.140 0.281  0.93
Ce 0.851 0.351 0.702  0.82
Pb 0.448 0.948 0.896  -0.01



No. 9
VASP calculation (PBE-GGA) on an optimized crystal structure of Ce3PbAu2.

Spin magnetization in μB per formula unit: 3.51
Distance to the lowest polymorph of the same formula in eV/f.u.: 0.00
V in Å³/cell: 158.3
DFT formation energy in meV per atom: -523

abc: 3.536 3.536 12.663
angles: 90.00 90.00 90.00
Each line ends with the local moment (μB).
Fractional positions:
Pb 0.500 0.500 0.500  -0.01
Ce 0.000 0.000 0.000  0.85
Ce 0.000 0.000 0.311  0.95
Ce 0.000 0.000 0.689  0.95
Au 0.500 0.500 0.843  0.00
Au 0.500 0.500 0.157  0.00



No. 10
VASP calculation (PBE-GGA) on an optimized crystal structure of Ce6PbAu5.

Spin magnetization in μB per formula unit: 5.39
V in Å³/cell: 300.4
DFT formation energy in meV per atom: -562

abc: 5.378 7.493 8.054
angles: 90.00 112.23 90.00
Each line ends with the local moment (μB).
Fractional positions:
Ce 0.897 0.746 0.642  0.76
Ce 0.103 0.746 0.358  0.76
Ce 0.500 0.260 0.000  0.77
Ce 0.500 0.740 0.000  0.77
Ce 0.897 0.254 0.642  0.76
Ce 0.103 0.254 0.358  0.76
Au 0.429 0.000 0.671  0.00
Au 0.435 0.500 0.672  0.00
Au 0.000 0.500 0.000  0.01
Au 0.571 0.000 0.329  0.00
Au 0.565 0.500 0.328  0.00
Pb 0.000 0.000 0.000  -0.02



No. 11
VASP calculation (PBE-GGA) on an optimized crystal structure of CePtPbAu.

Spin magnetization in μB per formula unit: 0.72
V in Å³/cell: 90.7
DFT formation energy in meV per atom: -614

abc: 5.044 5.044 5.044
angles: 60.00 60.00 60.00
Each line ends with the local moment (μB).
Fractional positions:
Au 0.250 0.250 0.250  0.00
Ce 0.000 0.000 0.000  0.63
Pt 0.750 0.750 0.750  -0.01
Pb 0.500 0.500 0.500  0.02



No. 12
VASP calculation (PBE-GGA) on an optimized crystal structure of CeRhPbAu.

Spin magnetization in μB per formula unit: 0.45
V in Å³/cell: 87.8
DFT formation energy in meV per atom: -428

abc: 4.990 4.990 4.990
angles: 60.00 60.00 60.00
Each line ends with the local moment (μB).
Fractional positions:
Au 0.000 0.000 0.000  0.00
Ce 0.750 0.750 0.750  0.43
Pb 0.250 0.250 0.250  0.01
Rh 0.500 0.500 0.500  -0.04



| no. | raw total energy (eV per atom) |
| --- | --- |
| 1 | -3.7609 |
| 2 | -4.8244 |
| 3 | -5.0464 |
| 4 | -5.2519 |
| 5 | -4.5545 |
| 6 | -4.1722 |
| 7 | -5.2755 |
| 8 | -4.7220 |
| 9 | -5.2007 |
| 10 | -5.2037 |
| 11 | -5.3545 |
| 12 | -5.4953 |